A plane-wave DFT calculation with PBE was carried out for an optimized crystal structure of BaIrCl.

a = 23.1511 Å, b = 3.8138 Å, c = 3.8483 Å
α = 90.00°, β = 99.52°, γ = 90.00°
Space group C2 (No. 5)
Inequivalent atoms, fractional coordinates:
Ba  0.1185  0.0000  0.1176 (multiplicity 4)
Ir  0.0000  0.4958  0.0000 (multiplicity 2)
Ir  0.0000  0.9529  0.5000 (multiplicity 2)
Cl  0.1835  0.4991  0.6831 (multiplicity 4)

**Distance to the lowest polymorph of the same formula**: 154 meV per atom
**Final energy**: -15.7 eV per formula unit
**Raw formation energy**: -3.097 eV per formula unit